No. 1
VASP calculation (GGA-PBE) on a relaxed LaAl2Rh crystal.

abc: 3.0727 3.2516 7.6617
angles: 90.00 90.07 90.00
Element x y z (fractional)
1 La 0.0000 0.0000 0.0000
2 Al 0.5005 0.5000 0.3184
3 Al 0.4995 0.5000 0.6816
4 Rh 0.0000 0.0000 0.5000

## Properties
space-group type	No. 10
V	19.138	A^3/atom

No. 2
VASP calculation (GGA-PBE) on a relaxed La4AlRh crystal.

abc: 8.8012 8.8012 7.1828
angles: 109.11 109.11 114.98
Element x y z (fractional)
1 La 0.0500 0.5992 0.8218
2 La 0.2109 0.2642 0.7541
3 La 0.2642 0.2109 0.2541
4 La 0.4008 0.9500 0.6782
5 La 0.5992 0.0500 0.3218
6 La 0.7358 0.7891 0.7459
7 La 0.7891 0.7358 0.2459
8 La 0.9500 0.4008 0.1782
9 Al 0.3759 0.6241 0.2500
10 Al 0.6241 0.3759 0.7500
11 Rh 0.0979 0.9021 0.7500
12 Rh 0.9021 0.0979 0.2500

## Properties
polymorph energy (0 for the lowest one)	139	meV/atom
space-group type	No. 15
V	33.334	A^3/atom

No. 3
VASP calculation (GGA-PBE) on a relaxed LaAl2Rh crystal.

abc: 8.8954 8.8954 8.8954
angles: 147.42 147.42 46.74
Element x y z (fractional)
1 La 0.0000 0.0000 0.0000
2 La 0.7500 0.2500 0.5000
3 Al 0.3726 0.6250 0.2476
4 Al 0.3750 0.6226 0.7476
5 Al 0.3774 0.1250 0.7524
6 Al 0.8750 0.6274 0.2524
7 Rh 0.2500 0.7500 0.5000
8 Rh 0.5000 0.5000 0.0000

## Properties
space-group type	No. 122
V	25.419	A^3/atom

No. 4
VASP calculation (GGA-PBE) on a relaxed La4AlRh crystal.

abc: 9.9860 9.9860 9.9860
angles: 60.00 60.00 60.00
Element x y z (fractional)
1 La 0.1863 0.1863 0.8137
2 La 0.1863 0.8137 0.1863
3 La 0.1863 0.8137 0.8137
4 La 0.3999 0.3999 0.3999
5 La 0.3999 0.3999 0.8004
6 La 0.3999 0.8004 0.3999
7 La 0.5524 0.5524 0.9476
8 La 0.5524 0.9476 0.5524
9 La 0.5524 0.9476 0.9476
10 La 0.8004 0.3999 0.3999
11 La 0.8137 0.1863 0.1863
12 La 0.8137 0.1863 0.8137
13 La 0.8137 0.8137 0.1863
14 La 0.9476 0.5524 0.5524
15 La 0.9476 0.5524 0.9476
16 La 0.9476 0.9476 0.5524
17 Al 0.1768 0.1768 0.1768
18 Al 0.1768 0.1768 0.4696
19 Al 0.1768 0.4696 0.1768
20 Al 0.4696 0.1768 0.1768
21 Rh 0.1715 0.6095 0.6095
22 Rh 0.6095 0.1715 0.6095
23 Rh 0.6095 0.6095 0.1715
24 Rh 0.6095 0.6095 0.6095

## Properties
polymorph energy (0 for the lowest one)	0	meV/atom
space-group type	No. 216
V	29.339	A^3/atom

No. 5
VASP calculation (GGA-PBE) on a relaxed LaAl2Rh crystal.

abc: 5.8187 5.8187 5.8187
angles: 44.53 44.53 44.53
Element x y z (fractional)
1 La 0.0000 0.0000 0.0000
2 Al 0.5292 0.5292 0.5292
3 Al 0.7998 0.7998 0.7998
4 Rh 0.1811 0.1811 0.1811

## Properties
space-group type	No. 160
V	22.027	A^3/atom

No. 6
VASP calculation (GGA-PBE) on a relaxed LaAlRh crystal.

abc: 4.6840 4.6840 4.6840
angles: 60.00 60.00 60.00
Element x y z (fractional)
1 La 0.0000 0.0000 0.0000
2 Al 0.5000 0.5000 0.5000
3 Rh 0.2500 0.2500 0.2500

## Properties
space-group type	No. 216
V	24.222	A^3/atom

No. 7
VASP calculation (GGA-PBE) on a relaxed LaAl2Rh2 crystal.

abc: 7.6739 7.6739 3.0063
angles: 90.00 90.00 90.00
Element x y z (fractional)
1 La 0.0000 0.0000 0.0000
2 La 0.5000 0.5000 0.0000
3 Al 0.1287 0.3713 0.5000
4 Al 0.3713 0.8713 0.5000
5 Al 0.6287 0.1287 0.5000
6 Al 0.8713 0.6287 0.5000
7 Rh 0.1603 0.6603 0.0000
8 Rh 0.3397 0.1603 0.0000
9 Rh 0.6603 0.8397 0.0000
10 Rh 0.8397 0.3397 0.0000

## Properties
space-group type	No. 127
V	17.704	A^3/atom

No. 8
VASP calculation (GGA-PBE) on a relaxed LaAl2Rh2 crystal.

abc: 5.9170 5.9170 5.9170
angles: 136.75 136.75 62.83
Element x y z (fractional)
1 La 0.0000 0.0000 0.0000
2 Al 0.3637 0.3637 0.0000
3 Al 0.6363 0.6363 0.0000
4 Rh 0.2500 0.7500 0.5000
5 Rh 0.7500 0.2500 0.5000

## Properties
space-group type	No. 139
V	19.212	A^3/atom

It is found that the Fermi-level density of states values, taken in the order of the records, are 0.9043, 1.2367, 1.0202, 1.1460, 0.6922, 0.7859, 0.5519, 0.6079 states/eV/atom.
It is found that the ΔH_f (0 K) values, taken in the order of the records, are -0.616, -0.301, -0.318, -0.441, -0.704, -0.544, -0.733, -0.874 eV/atom.